Density functional theory data (PBE) for crystalline MgNpH6Rh at its relaxed geometry.

Calculated total energy, eV per atom: -4.8137
ρ, g/cm3: 7.56
Fermi-level density of states, states/eV per atom: 1.4985

a b c (Å): 4.5720 4.5720 4.4905
angles (deg): 90.00 90.00 60.00
Closest atoms and distances in Å follow each position.
Positions (direct):
Mg 0.6666 0.6667 0.5000  6 H 1.95
Np 0.0000 0.0000 0.0000  12 H 2.48
H 0.0325 0.4838 0.2101  1 Rh 1.76, 1 H 1.89, 1 Mg 1.95
H 0.4838 0.0325 0.7899  1 Rh 1.76, 1 H 1.89, 1 Mg 1.95
H 0.4836 0.4838 0.7899  1 Rh 1.76, 1 H 1.89, 1 Mg 1.95
H 0.0325 0.4837 0.7899  1 Rh 1.76, 1 H 1.89, 1 Mg 1.95
H 0.4838 0.4837 0.2101  1 Rh 1.76, 1 H 1.89, 1 Mg 1.95
H 0.4837 0.0325 0.2101  1 Rh 1.76, 1 H 1.89, 1 Mg 1.95
Rh 0.3333 0.3333 0.5000  6 H 1.76

---

Density functional theory data (PBE) for crystalline MgNpH8Rh2 at its relaxed geometry.

Calculated total energy, eV per atom: -4.7741
ρ, g/cm3: 7.23
Fermi-level density of states, states/eV per atom: 0.8406

a b c (Å): 4.7783 4.7783 6.1679
angles (deg): 67.21 67.21 60.00
Closest atoms and distances in Å follow each position.
Positions (direct):
Mg 0.0000 0.0000 0.0000  6 H 2.03
Np 0.5000 0.5000 0.5000  6 H 2.29
H 0.1928 0.1928 0.4217  1 Rh 1.74
H 0.5959 0.3584 0.1545  2 Rh 1.73-1.93
H 0.8072 0.8072 0.5783  1 Rh 1.74
H 0.8912 0.5959 0.1545  2 Rh 1.73-1.93
H 0.1088 0.4041 0.8455  2 Rh 1.73-1.93
H 0.3584 0.8912 0.1545  2 Rh 1.73-1.93
H 0.6416 0.1088 0.8455  2 Rh 1.73-1.93
H 0.4041 0.6416 0.8455  2 Rh 1.73-1.93
Rh 0.2976 0.2976 0.1071  7 H 1.73-1.93
Rh 0.7024 0.7024 0.8929  7 H 1.73-1.93

---

Density functional theory data (PBE) for crystalline Mg5H2O6 at its relaxed geometry.

Calculated total energy, eV per atom: -5.7401
ρ, g/cm3: 3.04
Fermi-level density of states, states/eV per atom: 0.0000

a b c (Å): 3.0466 3.0465 14.9126
angles (deg): 90.00 90.00 120.00
Closest atoms and distances in Å follow each position.
Positions (direct):
H 0.3333 0.6667 0.4655  1 O 0.97
H 0.6667 0.3333 0.5345  1 O 0.97
Mg 0.0000 0.0000 0.0000  6 O 2.14
Mg 0.3333 0.6667 0.1643  6 O 2.14
Mg 0.6667 0.3333 0.8357  6 O 2.14
Mg 0.6667 0.3333 0.3289  6 O 2.06-2.15
Mg 0.3333 0.6667 0.6711  6 O 2.06-2.15
O 0.3333 0.6666 0.4006  1 H 0.97
O 0.6667 0.3334 0.5994  1 H 0.97
O 0.0000 0.0000 0.7536  6 Mg 2.14-2.15
O 0.0000 0.0000 0.2464  6 Mg 2.14-2.15
O 0.3333 0.6667 0.9179  6 Mg 2.14
O 0.6667 0.3333 0.0821  6 Mg 2.14

---

Density functional theory data (PBE) for crystalline MgHO2 at its relaxed geometry.

Calculated total energy, eV per atom: -4.1694
ρ, g/cm3: 3.01
Fermi-level density of states, states/eV per atom: 0.4064

a b c (Å): 3.5499 3.5499 3.5499
angles (deg): 60.00 60.00 60.00
Closest atoms and distances in Å follow each position.
Positions (direct):
H 0.0000 0.0000 0.0000  8 O 2.17
Mg 0.5000 0.5000 0.5000  8 O 2.17
O 0.2500 0.2500 0.2500  4 H 2.17, 4 Mg 2.17
O 0.7500 0.7500 0.7500  4 H 2.17, 4 Mg 2.17

---

Density functional theory data (PBE) for crystalline MgHO2 at its relaxed geometry.

Calculated total energy, eV per atom: -4.5091
ρ, g/cm3: 2.72
Fermi-level density of states, states/eV per atom: 0.1954

a b c (Å): 3.8877 3.8877 5.3905
angles (deg): 68.86 68.86 90.00
Closest atoms and distances in Å follow each position.
Positions (direct):
H 0.5000 0.5000 0.0000  4 O 1.65
H 0.2500 0.7500 0.5000  4 O 1.65
Mg 0.0000 0.0000 0.0000  4 O 1.99
Mg 0.7500 0.2500 0.5000  4 O 1.99
O 0.5421 0.1250 0.2500  2 H 1.65
O 0.2079 0.6250 0.2500  2 H 1.65
O 0.3750 0.4579 0.7500  2 H 1.65
O 0.8750 0.7921 0.7500  2 H 1.65

---

Density functional theory data (PBE) for crystalline Mg9H14O2 at its relaxed geometry.

Calculated total energy, eV per atom: -3.4006
ρ, g/cm3: 1.78
Fermi-level density of states, states/eV per atom: 0.0000

a b c (Å): 5.9753 5.9753 7.9841
angles (deg): 90.00 90.00 120.00
Closest atoms and distances in Å follow each position.
Positions (direct):
Mg 0.3141 0.9674 0.3394  5 H 1.93-2.10, 1 O 1.97
Mg 0.0326 0.3468 0.3394  5 H 1.93-2.10, 1 O 1.97
Mg 0.3333 0.6667 0.0119  3 H 1.89, 1 O 1.94
Mg 0.0000 0.0000 0.0000  8 H 2.09-2.14
Mg 0.3468 0.3141 0.6606  5 H 1.93-2.10, 1 O 1.97
Mg 0.6532 0.6859 0.3394  5 H 1.93-2.10, 1 O 1.97
Mg 0.6667 0.3333 0.9881  3 H 1.89, 1 O 1.94
Mg 0.9674 0.6532 0.6606  5 H 1.93-2.10, 1 O 1.97
Mg 0.6859 0.0326 0.6606  5 H 1.93-2.10, 1 O 1.97
H 0.0752 0.7100 0.9045  2 Mg 1.89-2.03
H 0.3064 0.9170 0.5877  3 Mg 1.93-2.10
H 0.0830 0.3894 0.5877  3 Mg 1.93-2.10
H 0.0000 0.0000 0.2612  4 Mg 2.08-2.09
H 0.0000 0.0000 0.7388  4 Mg 2.08-2.09
H 0.2900 0.3652 0.9045  2 Mg 1.89-2.03
H 0.6348 0.9248 0.9045  2 Mg 1.89-2.03
H 0.3894 0.3064 0.4123  3 Mg 1.93-2.10
H 0.6106 0.6936 0.5877  3 Mg 1.93-2.10
H 0.3652 0.0752 0.0955  2 Mg 1.89-2.03
H 0.7100 0.6348 0.0955  2 Mg 1.89-2.03
H 0.9170 0.6106 0.4123  3 Mg 1.93-2.10
H 0.6936 0.0830 0.4123  3 Mg 1.93-2.10
H 0.9248 0.2900 0.0955  2 Mg 1.89-2.03
O 0.3333 0.6667 0.2552  4 Mg 1.94-1.97
O 0.6667 0.3333 0.7448  4 Mg 1.94-1.97

---

Density functional theory data (PBE) for crystalline Mg3H2O2 at its relaxed geometry.

Calculated total energy, eV per atom: -4.6315
ρ, g/cm3: 2.35
Fermi-level density of states, states/eV per atom: 0.0000

a b c (Å): 2.9596 5.2618 5.1924
angles (deg): 102.61 90.02 106.33
Closest atoms and distances in Å follow each position.
Positions (direct):
Mg 0.0000 0.0000 0.0000  4 O 2.08, 2 H 2.17
Mg 0.7757 0.5508 0.2494  3 H 1.97-2.07, 3 O 2.04-2.10
Mg 0.2243 0.4492 0.7506  3 H 1.97-2.07, 3 O 2.04-2.10
H 0.8425 0.6852 0.6367  4 Mg 1.97-2.17
H 0.1575 0.3148 0.3633  4 Mg 1.97-2.17
O 0.6231 0.2464 0.8980  5 Mg 2.04-2.10
O 0.3769 0.7536 0.1020  5 Mg 2.04-2.10

---

Density functional theory data (PBE) for crystalline MgHO3 at its relaxed geometry.

Calculated total energy, eV per atom: -3.6701
ρ, g/cm3: 2.05
Fermi-level density of states, states/eV per atom: 0.4522

a b c (Å): 3.8986 3.8986 3.8986
angles (deg): 90.00 90.00 90.00
Closest atoms and distances in Å follow each position.
Positions (direct):
H 0.5000 0.5000 0.5000  12 O 2.76
Mg 0.0000 0.0000 0.0000  6 O 1.95
O 0.0000 0.5000 0.0000  2 Mg 1.95
O 0.0000 0.0000 0.5000  2 Mg 1.95
O 0.5000 0.0000 0.0000  2 Mg 1.95

---

Density functional theory data (PBE) for crystalline Mg4HO3 at its relaxed geometry.

Calculated total energy, eV per atom: -4.9077
ρ, g/cm3: 2.94
Fermi-level density of states, states/eV per atom: 0.1783

a b c (Å): 5.4136 5.2896 6.1272
angles (deg): 90.00 90.00 109.60
Closest atoms and distances in Å follow each position.
Positions (direct):
Mg 0.0116 0.2505 0.6192  5 O 2.13-2.24, 1 H 2.23
Mg 0.4933 0.2564 0.8699  4 O 2.13-2.20, 2 H 2.19-2.24
Mg 0.5116 0.2505 0.3808  5 O 2.13-2.24, 1 H 2.23
Mg 0.9933 0.2564 0.1301  4 O 2.13-2.20, 2 H 2.19-2.24
Mg 0.0067 0.7436 0.8699  4 O 2.13-2.20, 2 H 2.19-2.24
Mg 0.4884 0.7495 0.6192  5 O 2.13-2.24, 1 H 2.23
Mg 0.5067 0.7436 0.1301  4 O 2.13-2.20, 2 H 2.19-2.24
Mg 0.9884 0.7495 0.3808  5 O 2.13-2.24, 1 H 2.23
H 0.7500 0.0000 0.8765  6 Mg 2.19-2.24
H 0.2500 0.0000 0.1235  6 Mg 2.19-2.24
O 0.7500 0.0000 0.3871  6 Mg 2.13-2.20
O 0.2500 0.0000 0.6129  6 Mg 2.13-2.20
O 0.7500 0.5000 0.6283  6 Mg 2.14-2.24
O 0.7500 0.5000 0.1258  6 Mg 2.13-2.20
O 0.2500 0.5000 0.3717  6 Mg 2.14-2.24
O 0.2500 0.5000 0.8742  6 Mg 2.13-2.20

---

Density functional theory data (PBE) for crystalline MgHO2 at its relaxed geometry.

Calculated total energy, eV per atom: -5.1663
ρ, g/cm3: 2.60
Fermi-level density of states, states/eV per atom: 0.4683

a b c (Å): 4.6752 4.6752 4.6752
angles (deg): 39.15 39.15 39.15
Closest atoms and distances in Å follow each position.
Positions (direct):
H 0.0000 0.0000 0.0000  2 O 1.17
Mg 0.5000 0.5000 0.5000  6 O 2.06
O 0.9094 0.9094 0.9094  1 H 1.17
O 0.0906 0.0906 0.0906  1 H 1.17

---

Density functional theory data (PBE) for crystalline Mg3H4O at its relaxed geometry.

Calculated total energy, eV per atom: -3.6529
ρ, g/cm3: 1.80
Fermi-level density of states, states/eV per atom: 0.0000

a b c (Å): 4.9579 5.7904 6.9619
angles (deg): 106.84 90.00 115.35
Closest atoms and distances in Å follow each position.
Positions (direct):
Mg 0.6741 0.2613 0.7219  4 H 1.89-2.05, 1 O 1.98
Mg 0.5871 0.2613 0.2219  4 H 1.89-2.05, 1 O 1.98
Mg 0.3855 0.6833 0.7027  4 H 1.89-2.06, 1 O 1.98
Mg 0.2978 0.6833 0.2027  4 H 1.89-2.06, 1 O 1.98
Mg 0.9862 0.9726 0.9625  2 O 1.99, 4 H 2.02-2.11
Mg 0.9863 0.9726 0.4625  2 O 1.99, 4 H 2.02-2.11
H 0.4193 0.1829 0.9280  3 Mg 1.94-2.05
H 0.7636 0.1829 0.4280  3 Mg 1.94-2.05
H 0.3698 0.3370 0.6114  3 Mg 1.89-2.11
H 0.9672 0.3370 0.1114  3 Mg 1.89-2.11
H 0.0053 0.6078 0.8137  3 Mg 1.89-2.11
H 0.6024 0.6078 0.3137  3 Mg 1.89-2.11
H 0.2092 0.7625 0.4971  3 Mg 1.94-2.06
H 0.5534 0.7625 0.9971  3 Mg 1.94-2.06
O 0.7921 0.9724 0.7125  4 Mg 1.98-1.99
O 0.1803 0.9724 0.2125  4 Mg 1.98-1.99

---

Density functional theory data (PBE) for crystalline Mg3HO at its relaxed geometry.

Calculated total energy, eV per atom: -3.0636
ρ, g/cm3: 1.94
Energy above the lowest structure with this stoichiometry, eV/f.u.: 0.00
Fermi-level density of states, states/eV per atom: 0.2712

a b c (Å): 4.2535 4.2535 4.2535
angles (deg): 90.00 90.00 90.00
Closest atoms and distances in Å follow each position.
Positions (direct):
H 0.5000 0.5000 0.5000  12 Mg 3.01
Mg 0.0000 0.5000 0.0000  2 O 2.13
Mg 0.0000 0.0000 0.5000  2 O 2.13
Mg 0.5000 0.0000 0.0000  2 O 2.13
O 0.0000 0.0000 0.0000  6 Mg 2.13